A relaxed ScPb4Br crystal, computed with PBE.

extended XYZ file:
```
6
Lattice="0.0000 4.5351 4.5351 4.5351 0.0000 4.5351 4.5351 4.5351 0.0000" Properties=species:S:1:pos:R:3 pbc="T T T"
Sc 0.0000 0.0000 0.0000
Pb 3.3948 3.3948 3.3948
Pb 5.6754 5.6754 3.3948
Pb 5.6754 3.3948 5.6754
Pb 3.3948 5.6754 5.6754
Br 6.8027 6.8027 6.8027
```

Values from the calculation:
- Space-group type: F-43m, No. 216
- Electronic total energy: -22.50 eV per cell

***

A relaxed ScPbBr crystal, computed with PBE.

extended XYZ file:
```
3
Lattice="0.0000 3.5293 3.5293 3.5293 0.0000 3.5293 3.5293 3.5293 0.0000" Properties=species:S:1:pos:R:3 pbc="T T T"
Sc 0.0000 0.0000 0.0000
Pb 5.2939 5.2939 5.2939
Br 1.7646 1.7646 1.7646
```

Values from the calculation:
- Offset from the most stable computed form: 1.88 eV per formula unit
- Space-group type: F-43m, No. 216
- Electronic total energy: -12.13 eV per cell

***

A relaxed ScPbBr crystal, computed with PBE.

extended XYZ file:
```
3
Lattice="-1.6921 1.6921 7.4373 1.6921 -1.6921 7.4373 1.6921 1.6921 -7.4373" Properties=species:S:1:pos:R:3 pbc="T T T"
Sc 0.0000 0.0000 0.0000
Pb 0.0000 0.0000 9.7498
Br 0.0000 0.0000 5.9054
```

Values from the calculation:
- Offset from the most stable computed form: 0.25 eV per formula unit
- Space-group type: I4mm, No. 107
- Electronic total energy: -13.76 eV per cell